A plane-wave DFT calculation with PBE-GGA was carried out for a relaxed structure of Li2NpAlH8.

As for the crystal system: triclinic. The volume comes out at 8.56 Å³ per atom. Its total magnetization is 0.330 μB/atom. The value obtained for the uncorrected energy is -4.15 eV/atom.

It has space group P-1 (No. 2), with a = 3.468 Å, b = 5.296 Å, c = 5.851 Å, α = 82.87°, β = 74.69° and γ = 86.05°. The asymmetric unit holds Li at (0.148, 0.047, 0.248), Np at (0.500, 0.500, 0.500), Al at (0.500, 0.500, 0.000), H at (0.017, 0.221, 0.527), H at (0.106, 0.500, 0.250), H at (0.343, 0.745, 0.802) and H at (0.366, 0.249, 0.862).

***

A plane-wave DFT calculation with PBE-GGA was carried out for a relaxed structure of TlZnCoBr2.

As for the crystal system: tetragonal. The volume comes out at 26.10 Å³ per atom. Its total magnetization is 0.371 μB/atom. The value obtained for the uncorrected energy is -2.88 eV/atom. The value obtained for the raw formation energy is -6.1 kJ/mol of atoms.

It has space group P4/mmm (No. 123), with a = 5.185 Å, b = 5.185 Å, c = 4.852 Å, α = 90.00°, β = 90.00° and γ = 90.00°. The asymmetric unit holds Tl at (0.000, 0.000, 0.000), Zn at (0.500, 0.500, 0.000), Co at (0.500, 0.500, 0.500) and Br at (0.000, 0.500, 0.500).

***

A plane-wave DFT calculation with PBE-GGA was carried out for a relaxed structure of Ac3Sn2Pd4Pb2.

As for the crystal system: trigonal. The volume comes out at 27.10 Å³ per atom. Its total magnetization is 0.000 μB/atom. The calculation puts the formation energy at -773 kJ/mol of formula units. The value obtained for the uncorrected energy is -5.14 eV/atom.

It has space group P-3m1 (No. 164), with a = 4.8698 Å, b = 4.8698 Å, c = 14.5172 Å, α = 90.00°, β = 90.00° and γ = 120.00°. The asymmetric unit holds Ac at (0.0000, 0.0000, 0.0000), Ac at (0.0000, 0.0000, 0.2790), Sn at (0.3333, 0.6667, 0.1530), Pd at (0.3333, 0.6667, 0.3632), Pd at (0.3333, 0.6667, 0.8662) and Pb at (0.3333, 0.6667, 0.5587).

***

A plane-wave DFT calculation with PBE-GGA was carried out for a relaxed structure of Ba2TaIn.

As for the crystal system: orthorhombic. The volume comes out at 33.27 Å³ per atom. Its total magnetization is 0.439 μB/atom. The calculation puts the formation energy at 280 kJ/mol of formula units. The value obtained for the uncorrected energy is -3.88 eV/atom. The distance to the lowest polymorph of the same formula comes out at 275 meV/atom.

It has space group Pmmm (No. 47), with a = 3.431 Å, b = 5.182 Å, c = 7.485 Å, α = 90.00°, β = 90.00° and γ = 90.00°. The asymmetric unit holds Ba at (0.000, 0.000, 0.247), Ta at (0.500, 0.500, 0.000) and In at (0.500, 0.500, 0.500).

***

A plane-wave DFT calculation with PBE-GGA was carried out for a relaxed structure of TaTlPt.

As for the crystal system: trigonal. The volume comes out at 19.36 Å³ per atom. Its total magnetization is 0.000 μB/atom. The calculation puts the formation energy at 34 kJ/mol of formula units. The value obtained for the uncorrected energy is -6.64 eV/atom.

It has space group P3m1 (No. 156), with a = 3.0640 Å, b = 3.0640 Å, c = 7.1429 Å, α = 90.00°, β = 90.00° and γ = 120.00°. The asymmetric unit holds Ta at (0.0000, 0.0000, 0.0000), Tl at (0.3333, 0.6667, 0.3639) and Pt at (0.6667, 0.3333, 0.7111).

***

A plane-wave DFT calculation with PBE-GGA was carried out for a relaxed structure of CoAuSe2.

As for the crystal system: cubic. The volume comes out at 16.94 Å³ per atom. Its total magnetization is 0.000 μB/atom. The value obtained for the uncorrected energy is -3.87 eV/atom. The value obtained for the raw formation energy is 45.2 kJ/mol of atoms.

It has space group Fm-3m (No. 225), with a = 6.472 Å, b = 6.472 Å, c = 6.472 Å, α = 90.00°, β = 90.00° and γ = 90.00°. The asymmetric unit holds Co at (0.000, 0.000, 0.000), Au at (0.000, 0.000, 0.500) and Se at (0.250, 0.250, 0.250).

***

A plane-wave DFT calculation with PBE-GGA was carried out for a relaxed structure of KTe2Ru.

As for the crystal system: tetragonal. The volume comes out at 25.14 Å³ per atom. Its total magnetization is 0.403 μB/atom. The value obtained for the uncorrected energy is -3.66 eV/atom. The value obtained for the raw formation energy is 48.7 kJ/mol of atoms. The distance to the lowest polymorph of the same formula comes out at 875 meV/atom.

It has space group I-4m2 (No. 119), with a = 4.412 Å, b = 4.412 Å, c = 10.331 Å, α = 90.00°, β = 90.00° and γ = 90.00°. The asymmetric unit holds K at (0.000, 0.000, 0.000), Te at (0.000, 0.000, 0.500), Te at (0.000, 0.500, 0.250) and Ru at (0.000, 0.500, 0.750).

***

A plane-wave DFT calculation with PBE-GGA was carried out for a relaxed structure of Ce3InSi2Au6.

As for the crystal system: trigonal. The volume comes out at 23.99 Å³ per atom. Its total magnetization is 0.261 μB/atom. The value obtained for the uncorrected energy is -4.57 eV/atom. The value obtained for the raw formation energy is -30.4 kJ/mol of atoms.

It has space group P-3m1 (No. 164), with a = 6.3657 Å, b = 6.3657 Å, c = 8.2016 Å, α = 90.00°, β = 90.00° and γ = 120.00°. The asymmetric unit holds Ce at (0.0000, 0.0000, 0.0000), Ce at (0.3333, 0.6667, 0.6549), In at (0.0000, 0.0000, 0.5000), Si at (0.3333, 0.6667, 0.0379) and Au at (0.1821, 0.3642, 0.2691).

***

Look up the uncorrected energy of the seventh one.
-3.66 eV/atom